Compound: LaNi5
Source: Alexandria via LeMat-Bulk
Functional: SCAN
Structure: single point on PBEsol structure

The structure in extended XYZ format:
```
6
Lattice="4.909 0.000 0.000 -2.455 4.252 0.000 0.000 0.000 3.917" Properties=species:S:1:pos:R:3 pbc="T T T"
La 0.000 0.000 0.000
Ni -1.227 2.126 1.959
Ni 0.000 2.834 0.000
Ni 2.455 0.000 1.959
Ni 1.227 2.126 1.959
Ni 2.455 1.417 0.000
```

Summary:
Formation energy ... -0.244 eV per atom
SG ... No. 191
Fermi-level density of states ... 3.7 states/eV/f.u.

Compound: BaMn2Al
Source: Alexandria via LeMat-Bulk
Functional: SCAN
Structure: single point on PBEsol structure

The structure in extended XYZ format:
```
4
Lattice="2.097 1.210 6.012 -2.097 1.210 6.012 0.000 -2.421 6.012" Properties=species:S:1:pos:R:3 pbc="T T T"
Ba 0.000 0.000 0.000
Mn 0.000 0.000 8.748
Mn 0.000 0.000 14.560
Al 0.000 0.000 3.384
```

Summary:
Formation energy ... -0.068 eV per atom
SG ... No. 160
Fermi-level density of states ... 2.2 states/eV/f.u.

Compound: Y5Zn
Source: Alexandria via LeMat-Bulk
Functional: SCAN
Structure: single point on PBEsol structure

The structure in extended XYZ format:
```
6
Lattice="3.515 0.000 0.000 0.000 3.515 0.000 0.000 0.000 13.500" Properties=species:S:1:pos:R:3 pbc="T T T"
Y 0.000 0.000 0.000
Y 0.000 0.000 5.008
Y 0.000 0.000 8.492
Y 1.758 1.758 2.465
Y 1.758 1.758 11.034
Zn 1.758 1.758 6.750
```

Summary:
Formation energy ... -0.119 eV per atom
SG ... No. 123
Fermi-level density of states ... 7.1 states/eV/f.u.

Compound: DyPPd
Source: Alexandria via LeMat-Bulk
Functional: SCAN
Structure: single point on PBEsol structure

The structure in extended XYZ format:
```
12
Lattice="6.801 0.000 0.000 0.000 3.970 0.000 0.000 0.000 7.644" Properties=species:S:1:pos:R:3 pbc="T T T"
Dy 0.187 0.993 1.428
Dy 3.213 2.978 5.250
Dy 3.588 0.993 2.394
Dy 6.614 2.978 6.216
P 1.666 2.978 2.888
P 1.734 0.993 6.710
P 5.067 2.978 0.934
P 5.135 0.993 4.756
Pd 0.991 0.993 4.287
Pd 2.409 2.978 0.465
Pd 4.392 0.993 7.179
Pd 5.810 2.978 3.357
```

Summary:
Formation energy ... -1.387 eV per atom
SG ... No. 62
Fermi-level density of states ... 0.1 states/eV/f.u.

Compound: NaEuTiO4
Source: Alexandria via LeMat-Bulk
Functional: SCAN
Structure: single point on PBEsol structure

The structure in extended XYZ format:
```
28
Lattice="12.662 0.000 0.000 0.000 5.333 0.000 0.000 0.000 5.250" Properties=species:S:1:pos:R:3 pbc="T T T"
Na 1.082 0.007 1.312
Na 1.082 2.660 3.937
Na 11.580 2.673 1.312
Na 11.580 5.327 3.937
Eu 4.977 0.101 1.312
Eu 4.977 2.565 3.937
Eu 7.685 2.768 1.312
Eu 7.685 5.232 3.937
Ti 2.946 2.705 1.312
Ti 2.946 5.295 3.937
Ti 9.716 0.038 1.312
Ti 9.716 2.628 3.937
O 1.200 2.842 1.312
O 1.200 5.158 3.937
O 3.267 1.333 0.000
O 3.267 1.333 2.625
O 3.533 4.000 0.000
O 3.533 4.000 2.625
O 5.468 0.263 3.937
O 5.468 2.403 1.312
O 7.194 2.930 3.937
O 7.194 5.070 1.312
O 9.129 1.333 0.000
O 9.129 1.333 2.625
O 9.395 4.000 0.000
O 9.395 4.000 2.625
O 11.461 0.176 1.312
O 11.461 2.491 3.937
```

Summary:
SG ... No. 57
Electronic total energy ... -478.2 eV/cell
Fermi-level density of states ... 5.3 states/eV/f.u.

Compound: BaH3Pd
Source: Alexandria via LeMat-Bulk
Functional: SCAN
Structure: single point on PBEsol structure

The structure in extended XYZ format:
```
10
Lattice="-2.817 2.817 3.885 2.817 -2.817 3.885 2.817 2.817 -3.885" Properties=species:S:1:pos:R:3 pbc="T T T"
Ba 0.000 0.000 1.943
Ba 0.000 0.000 5.828
H 4.079 1.262 0.000
H 2.817 0.000 1.943
H 1.262 1.555 0.000
H 1.555 1.262 3.885
H 0.000 2.817 1.943
H -1.262 1.555 3.885
Pd 2.817 0.000 0.000
Pd 0.000 2.817 0.000
```

Summary:
SG ... No. 140
Electronic total energy ... -170.8 eV/cell
Fermi-level density of states ... 0.8 states/eV/f.u.

Compound: Na2S2O5
Source: Alexandria via LeMat-Bulk
Functional: SCAN
Structure: single point on PBEsol structure

The structure in extended XYZ format:
```
72
Lattice="9.153 0.000 0.000 0.000 5.460 0.000 -7.399 0.000 21.716" Properties=species:S:1:pos:R:3 pbc="T T T"
Na 0.217 1.192 1.498
Na -3.483 1.539 12.356
Na -4.008 1.268 15.916
Na -0.308 1.462 5.059
Na -0.672 3.710 11.210
Na 3.028 4.481 0.352
Na -1.268 4.023 14.867
Na 2.432 4.167 4.009
Na -0.678 1.293 17.707
Na 3.021 1.437 6.849
Na -1.274 0.980 21.364
Na 2.425 1.750 10.506
Na 2.062 3.999 16.657
Na 5.761 4.192 5.799
Na 5.237 3.922 9.360
Na 1.537 4.269 20.218
S -0.887 3.958 3.258
S -4.586 4.232 14.116
S -1.598 1.074 9.537
S -5.297 1.657 20.395
S -3.031 4.034 17.588
S 0.668 4.157 6.731
S -0.173 1.229 13.077
S 3.526 1.501 2.219
S -1.773 3.959 19.497
S 1.927 4.231 8.639
S 1.085 1.304 14.985
S 4.785 1.427 4.127
S 7.051 3.804 1.321
S 3.351 4.387 12.179
S 6.340 1.228 7.600
S 2.640 1.502 18.457
O -1.997 0.749 6.462
O -5.696 1.981 17.320
O -4.230 2.802 14.223
O -0.531 5.389 3.366
O -5.996 0.572 21.178
O -2.296 2.158 10.320
O -5.754 3.006 20.857
O 0.307 3.093 3.074
O -3.393 5.098 13.932
O -2.055 5.184 9.999
O 2.361 0.612 2.465
O -1.339 2.118 13.323
O 1.165 2.846 6.190
O -2.534 5.345 17.048
O -2.394 2.901 16.828
O 1.306 5.290 5.970
O 3.146 2.917 2.057
O -0.554 5.273 12.915
O 1.117 3.720 9.765
O -2.583 4.471 20.622
O 4.336 0.990 1.093
O 0.637 1.740 11.951
O 2.308 0.187 8.801
O -1.392 2.543 19.659
O 0.448 0.170 15.745
O 4.147 2.560 4.887
O 4.288 0.116 4.668
O 0.588 2.615 15.526
O 3.092 3.342 8.393
O -0.607 4.848 19.251
O 3.808 0.276 11.717
O 5.147 0.363 7.784
O 1.447 2.368 18.642
O 7.508 2.454 0.859
O 4.050 3.302 11.395
O 7.749 4.888 0.538
O 2.284 0.072 18.350
O 5.984 2.658 7.492
O 7.450 3.479 4.395
O 3.750 4.711 15.253
```

Summary:
SG ... No. 14
Electronic total energy ... -593.8 eV/cell
Fermi-level density of states ... 0.0 states/eV/f.u.

Compound: ScZn4As
Source: Alexandria via LeMat-Bulk
Functional: SCAN
Structure: single point on PBEsol structure

The structure in extended XYZ format:
```
6
Lattice="0.000 3.648 3.648 3.648 0.000 3.648 3.648 3.648 0.000" Properties=species:S:1:pos:R:3 pbc="T T T"
Sc 0.000 0.000 0.000
Zn 4.564 2.731 2.731
Zn 2.731 4.564 2.731
Zn 2.731 2.731 4.564
Zn 4.564 4.564 4.564
As 1.824 1.824 1.824
```

Summary:
Formation energy ... -0.099 eV per atom
SG ... No. 216
Fermi-level density of states ... 3.2 states/eV/f.u.

Compound: BeCd2W
Source: Alexandria via LeMat-Bulk
Functional: SCAN
Structure: single point on PBEsol structure

The structure in extended XYZ format:
```
4
Lattice="0.000 3.184 3.184 3.184 0.000 3.184 3.184 3.184 0.000" Properties=species:S:1:pos:R:3 pbc="T T T"
Be 0.000 0.000 0.000
Cd 1.592 1.592 1.592
Cd 3.184 3.184 3.184
W 4.777 4.777 4.777
```

Summary:
Formation energy ... 0.912 eV per atom
SG ... No. 216
Fermi-level density of states ... 1.5 states/eV/f.u.

Compound: CuNiBr2
Source: Alexandria via LeMat-Bulk
Functional: SCAN
Structure: single point on PBEsol structure

The structure in extended XYZ format:
```
4
Lattice="-1.663 1.728 6.751 1.663 -1.728 6.751 1.663 1.728 -6.751" Properties=species:S:1:pos:R:3 pbc="T T T"
Cu 0.000 0.000 0.000
Ni 0.000 1.728 4.825
Br 1.663 0.000 4.273
Br 0.000 0.000 7.616
```

Summary:
SG ... No. 44
Electronic total energy ... -70.2 eV/cell
Fermi-level density of states ... 0.5 states/eV/f.u.

Compound: YGaCl2
Source: Alexandria via LeMat-Bulk
Functional: SCAN
Structure: single point on PBEsol structure

The structure in extended XYZ format:
```
4
Lattice="0.000 3.430 3.430 3.430 0.000 3.430 3.430 3.430 0.000" Properties=species:S:1:pos:R:3 pbc="T T T"
Y 0.000 0.000 0.000
Ga 3.430 3.430 3.430
Cl 1.715 1.715 1.715
Cl 5.144 5.144 5.144
```

Summary:
SG ... No. 225
Electronic total energy ... -64.0 eV/cell
Fermi-level density of states ... 3.4 states/eV/f.u.

Compound: HgRhPb2
Source: Alexandria via LeMat-Bulk
Functional: SCAN
Structure: single point on PBEsol structure

The structure in extended XYZ format:
```
4
Lattice="3.293 0.000 0.000 0.000 3.293 0.000 0.000 0.000 8.468" Properties=species:S:1:pos:R:3 pbc="T T T"
Hg 0.000 0.000 0.000
Rh 0.000 0.000 4.234
Pb 1.646 1.646 2.531
Pb 1.646 1.646 5.938
```

Summary:
Formation energy ... 0.012 eV per atom
SG ... No. 123
Fermi-level density of states ... 1.8 states/eV/f.u.

Compound: ZnNi2As
Source: Alexandria via LeMat-Bulk
Functional: SCAN
Structure: single point on PBEsol structure

The structure in extended XYZ format:
```
4
Lattice="1.380 0.797 7.909 -1.380 0.797 7.909 0.000 -1.594 7.909" Properties=species:S:1:pos:R:3 pbc="T T T"
Zn 0.000 0.000 0.000
Ni 0.000 0.000 6.064
Ni 0.000 0.000 12.085
As 0.000 0.000 18.246
```

Summary:
Formation energy ... 0.121 eV per atom
SG ... No. 160
Fermi-level density of states ... 2.9 states/eV/f.u.

Compound: AgPt2Au
Source: Alexandria via LeMat-Bulk
Functional: SCAN
Structure: single point on PBEsol structure

The structure in extended XYZ format:
```
4
Lattice="1.393 0.804 9.347 -1.393 0.804 9.347 0.000 -1.608 9.347" Properties=species:S:1:pos:R:3 pbc="T T T"
Ag 0.000 0.000 0.000
Pt 0.000 0.000 7.029
Pt 0.000 0.000 14.086
Au 0.000 0.000 21.076
```

Summary:
Formation energy ... 0.019 eV per atom
SG ... No. 160
Fermi-level density of states ... 3.2 states/eV/f.u.

Compound: Pb2WO5
Source: Alexandria via LeMat-Bulk
Functional: SCAN
Structure: single point on PBEsol structure

The structure in extended XYZ format:
```
16
Lattice="7.080 -2.902 0.000 7.080 2.902 0.000 -2.829 0.000 6.766" Properties=species:S:1:pos:R:3 pbc="T T T"
Pb -0.579 0.000 1.719
Pb 2.642 0.000 6.011
Pb 8.689 0.000 0.755
Pb 11.910 0.000 5.048
W 3.719 0.000 2.308
W 7.612 0.000 4.459
O 4.393 1.427 1.468
O 1.942 0.000 2.102
O 7.080 1.473 0.000
O 6.938 1.427 5.298
O 4.139 0.000 4.067
O 7.192 0.000 2.700
O 4.393 -1.427 1.468
O 7.080 -1.473 0.000
O 9.389 0.000 4.665
O 6.938 -1.427 5.298
```

Summary:
SG ... No. 12
Electronic total energy ... -533.4 eV/cell
Fermi-level density of states ... 0.0 states/eV/f.u.

Compound: RbHfTa3
Source: Alexandria via LeMat-Bulk
Functional: SCAN
Structure: single point on PBEsol structure

The structure in extended XYZ format:
```
5
Lattice="4.750 0.000 0.000 0.000 4.750 0.000 0.000 0.000 4.750" Properties=species:S:1:pos:R:3 pbc="T T T"
Rb 0.000 0.000 0.000
Hf 2.375 2.375 2.375
Ta 0.000 0.000 2.375
Ta 0.000 2.375 0.000
Ta 2.375 0.000 0.000
```

Summary:
Formation energy ... 2.987 eV per atom
SG ... No. 221
Fermi-level density of states ... 5.0 states/eV/f.u.

Compound: AlInI4
Source: Alexandria via LeMat-Bulk
Functional: SCAN
Structure: single point on PBEsol structure

The structure in extended XYZ format:
```
24
Lattice="7.044 0.000 0.000 0.000 11.494 0.000 -1.333 0.000 11.952" Properties=species:S:1:pos:R:3 pbc="T T T"
Al 0.491 2.874 0.392
Al 1.219 2.874 6.659
Al 4.493 8.621 5.294
Al 5.220 8.621 11.560
In 0.226 0.219 3.631
In 0.226 5.528 3.631
In 5.485 5.966 8.322
In 5.485 11.275 8.322
I -0.050 8.621 5.830
I 0.391 8.621 2.003
I 0.105 8.621 9.871
I 1.874 0.774 0.766
I 1.874 4.973 0.766
I 1.865 0.756 7.899
I 1.865 4.991 7.899
I 2.319 2.874 4.336
I 3.392 8.621 7.616
I 3.846 6.503 4.053
I 3.846 10.739 4.053
I 3.837 6.521 11.187
I 3.837 10.720 11.187
I 5.607 2.874 2.081
I 5.320 2.874 9.949
I 5.761 2.874 6.122
```

Summary:
SG ... No. 11
Electronic total energy ... -768.1 eV/cell
Fermi-level density of states ... 0.0 states/eV/f.u.

Compound: ZrGeNF2
Source: Alexandria via LeMat-Bulk
Functional: SCAN
Structure: single point on PBEsol structure

The structure in extended XYZ format:
```
5
Lattice="4.166 0.000 0.000 0.000 4.166 0.000 0.000 0.000 4.227" Properties=species:S:1:pos:R:3 pbc="T T T"
Zr 0.000 0.000 0.000
Ge 2.083 2.083 2.114
N 0.000 0.000 2.114
F 0.000 2.083 0.000
F 2.083 0.000 0.000
```

Summary:
SG ... No. 123
Electronic total energy ... -74.2 eV/cell
Fermi-level density of states ... 2.1 states/eV/f.u.

Compound: CeHfO4
Source: Alexandria via LeMat-Bulk
Functional: SCAN
Structure: single point on PBEsol structure

The structure in extended XYZ format:
```
48
Lattice="7.359 0.000 0.000 0.000 7.396 0.000 0.000 0.000 10.509" Properties=species:S:1:pos:R:3 pbc="T T T"
Ce 0.000 0.020 0.000
Ce 0.000 3.730 10.460
Ce 1.830 1.821 7.858
Ce 1.850 5.575 2.604
Ce 3.680 3.666 5.206
Ce 3.680 7.376 5.254
Ce 5.509 5.575 2.604
Ce 5.530 1.821 7.858
Hf 0.000 0.161 5.120
Hf 0.000 3.724 5.240
Hf 1.806 5.511 7.830
Hf 1.874 1.885 2.576
Hf 3.680 3.672 10.494
Hf 3.680 7.235 10.374
Hf 5.485 1.885 2.576
Hf 5.553 5.511 7.830
O 0.000 1.828 9.227
O 0.000 1.837 1.532
O 0.000 1.866 6.545
O 0.000 1.914 4.083
O 0.000 5.278 6.822
O 0.000 5.583 4.210
O 0.000 5.585 9.219
O 0.000 5.615 1.367
O 1.674 7.242 6.409
O 1.741 0.124 3.774
O 1.768 3.645 3.770
O 1.811 3.727 6.391
O 1.869 3.669 1.137
O 1.911 3.751 9.025
O 1.939 7.272 9.028
O 2.005 0.154 1.155
O 3.680 1.781 6.621
O 3.680 1.811 3.965
O 3.680 1.813 9.464
O 3.680 2.118 1.567
O 3.680 5.482 9.337
O 3.680 5.530 1.290
O 3.680 5.559 6.787
O 3.680 5.568 3.973
O 5.354 0.154 1.155
O 5.420 7.272 9.028
O 5.448 3.751 9.025
O 5.490 3.669 1.137
O 5.548 3.727 6.391
O 5.591 3.645 3.770
O 5.618 0.124 3.774
O 5.685 7.242 6.409
```

Summary:
SG ... No. 31
Electronic total energy ... -1236.6 eV/cell
Fermi-level density of states ... 0.0 states/eV/f.u.